# 1
Entry from Alexandria: Li3TmTl2 after structural relaxation (PBE).

```
data_Li3TmTl2
_space_group_name_H-M_alt 'C 1 2/m 1'
_space_group_IT_number 12
_cell_length_a 16.2611
_cell_length_b 4.6919
_cell_length_c 7.4294
_cell_angle_alpha 90.00
_cell_angle_beta 113.34
_cell_angle_gamma 90.00
loop_
_space_group_symop_operation_xyz
'x,y,z'
'-x,-y,-z'
'-x,y,-z'
'x,-y,z'
'x+1/2,y+1/2,z'
'-x+1/2,-y+1/2,-z'
'-x+1/2,y+1/2,-z'
'x+1/2,-y+1/2,z'
loop_
_atom_site_label
_atom_site_fract_x
_atom_site_fract_y
_atom_site_fract_z
Li1 0.0744 0.0000 0.1930
Li2 0.1252 0.5000 0.0289
Li3 0.2111 0.5000 0.4292
Tm1 0.1077 0.0000 0.6850
Tl1 0.0295 0.5000 0.3249
Tl2 0.2439 0.0000 0.1622
```

# 2
Entry from Alexandria: Li4Tm9Tl11 after structural relaxation (PBE).

```
data_Li4Tm9Tl11
_space_group_name_H-M_alt 'C m m m'
_space_group_IT_number 65
_space_group_name_Hall '-C 2 2'
_cell_length_a 15.0996
_cell_length_b 22.4142
_cell_length_c 3.4926
_cell_angle_alpha 90.00
_cell_angle_beta 90.00
_cell_angle_gamma 90.00
loop_
_atom_site_label
_atom_site_fract_x
_atom_site_fract_y
_atom_site_fract_z
Li1 0.1462 0.0990 0.0000
Tm1 0.0000 0.0000 0.0000
Tm2 0.1139 0.2439 0.0000
Tm3 0.1379 0.4231 0.0000
Tl1 0.0000 0.1377 0.5000
Tl2 0.0000 0.3399 0.5000
Tl3 0.0000 0.5000 0.5000
Tl4 0.2019 0.0000 0.5000
Tl5 0.2458 0.3294 0.5000
```

# 3
Entry from Alexandria: Li2Tm5Tl5 after structural relaxation (PBE).

```
data_Li2Tm5Tl5
_space_group_name_H-M_alt 'C 1 2/m 1'
_space_group_IT_number 12
_cell_length_a 8.5534
_cell_length_b 4.9860
_cell_length_c 14.6865
_cell_angle_alpha 90.00
_cell_angle_beta 101.34
_cell_angle_gamma 90.00
loop_
_space_group_symop_operation_xyz
'x,y,z'
'-x,-y,-z'
'-x,y,-z'
'x,-y,z'
'x+1/2,y+1/2,z'
'-x+1/2,-y+1/2,-z'
'-x+1/2,y+1/2,-z'
'x+1/2,-y+1/2,z'
loop_
_atom_site_label
_atom_site_fract_x
_atom_site_fract_y
_atom_site_fract_z
Li1 0.0657 0.0000 0.2082
Tm1 0.0000 0.5000 0.5000
Tm2 0.1932 0.5000 0.0855
Tm3 0.2274 0.0000 0.6717
Tl1 0.0000 0.0000 0.0000
Tl2 0.1014 0.5000 0.7912
Tl3 0.1365 0.0000 0.4169
```

# 4
# LiTm6Tl5, relaxed, DFT PBE
# * ΔE to the lowest computed polymorph: 98.7 meV/atom
data_LiTm6Tl5
_space_group_name_H-M_alt 'C 1 2/m 1'
_space_group_IT_number 12
_cell_length_a 6.2717
_cell_length_b 10.8519
_cell_length_c 10.0206
_cell_angle_alpha 90.00
_cell_angle_beta 102.01
_cell_angle_gamma 90.00
loop_
_space_group_symop_operation_xyz
'x,y,z'
'-x,-y,-z'
'-x,y,-z'
'x,-y,z'
'x+1/2,y+1/2,z'
'-x+1/2,-y+1/2,-z'
'-x+1/2,y+1/2,-z'
'x+1/2,-y+1/2,z'
loop_
_atom_site_label
_atom_site_fract_x
_atom_site_fract_y
_atom_site_fract_z
Li1 0.0000 0.0000 0.0000
Tm1 0.2464 0.5000 0.2509
Tm2 0.2471 0.3315 0.7477
Tl1 0.0000 0.1656 0.5000
Tl2 0.0000 0.3321 0.0000
Tl3 0.0000 0.5000 0.5000

# 5
# LiTm3Tl, relaxed, DFT PBE
# * ΔE to the lowest computed polymorph: 84.0 meV/atom
data_LiTm3Tl
_space_group_name_H-M_alt 'P 1 21/m 1'
_space_group_IT_number 11
_cell_length_a 4.8764
_cell_length_b 6.6102
_cell_length_c 8.8015
_cell_angle_alpha 90.00
_cell_angle_beta 106.03
_cell_angle_gamma 90.00
loop_
_space_group_symop_operation_xyz
'x,y,z'
'-x,-y,-z'
'-x,y+1/2,-z'
'x,-y+1/2,z'
loop_
_atom_site_label
_atom_site_fract_x
_atom_site_fract_y
_atom_site_fract_z
Li1 0.0060 0.2500 0.0116
Tm1 0.2126 0.2500 0.4249
Tm2 0.3974 0.0010 0.7948
Tl1 0.1775 0.7500 0.3547

# 6
# Li3Tm2Tl4, relaxed, DFT PBE
# * ΔE to the lowest computed polymorph: 0.0 meV/atom
data_Li3Tm2Tl4
_space_group_name_H-M_alt 'C 1 2/m 1'
_space_group_IT_number 12
_cell_length_a 9.2429
_cell_length_b 4.9276
_cell_length_c 9.3408
_cell_angle_alpha 90.00
_cell_angle_beta 101.69
_cell_angle_gamma 90.00
loop_
_space_group_symop_operation_xyz
'x,y,z'
'-x,-y,-z'
'-x,y,-z'
'x,-y,z'
'x+1/2,y+1/2,z'
'-x+1/2,-y+1/2,-z'
'-x+1/2,y+1/2,-z'
'x+1/2,-y+1/2,z'
loop_
_atom_site_label
_atom_site_fract_x
_atom_site_fract_y
_atom_site_fract_z
Li1 0.0000 0.0000 0.0000
Li2 0.1211 0.5000 0.5844
Tm1 0.2101 0.5000 0.2400
Tl1 0.0713 0.0000 0.3685
Tl2 0.1408 0.5000 0.8953

# 7
Entry from Alexandria: LiTm4Tl5 after structural relaxation (PBE).

```
data_LiTm4Tl5
_space_group_name_H-M_alt 'P 4/m m m'
_space_group_IT_number 123
_space_group_name_Hall '-P 4 2'
_cell_length_a 3.5672
_cell_length_b 3.5672
_cell_length_c 19.9135
_cell_angle_alpha 90.00
_cell_angle_beta 90.00
_cell_angle_gamma 90.00
loop_
_atom_site_label
_atom_site_fract_x
_atom_site_fract_y
_atom_site_fract_z
Li1 0.0000 0.0000 0.0000
Tm1 0.0000 0.0000 0.1859
Tm2 0.0000 0.0000 0.3950
Tl1 0.5000 0.5000 0.0826
Tl2 0.5000 0.5000 0.2904
Tl3 0.5000 0.5000 0.5000
```

# 8
# LiTmTl2, relaxed, DFT PBE
# * ΔE to the lowest computed polymorph: 26.3 meV/atom
data_LiTmTl2
_space_group_name_H-M_alt 'P 4/m m m'
_space_group_IT_number 123
_space_group_name_Hall '-P 4 2'
_cell_length_a 3.5773
_cell_length_b 3.5773
_cell_length_c 7.3597
_cell_angle_alpha 90.00
_cell_angle_beta 90.00
_cell_angle_gamma 90.00
loop_
_atom_site_label
_atom_site_fract_x
_atom_site_fract_y
_atom_site_fract_z
Li1 0.0000 0.0000 0.0000
Tm1 0.0000 0.0000 0.5000
Tl1 0.5000 0.5000 0.2203

# 9
Entry from Alexandria: LiTm5Tl6 after structural relaxation (PBE).

```
data_LiTm5Tl6
_space_group_name_H-M_alt 'I m m m'
_space_group_IT_number 71
_space_group_name_Hall '-I 2 2'
_cell_length_a 5.2142
_cell_length_b 7.5142
_cell_length_c 15.7905
_cell_angle_alpha 90.00
_cell_angle_beta 90.00
_cell_angle_gamma 90.00
loop_
_atom_site_label
_atom_site_fract_x
_atom_site_fract_y
_atom_site_fract_z
Li1 0.0000 0.0000 0.0000
Tm1 0.0000 0.0000 0.3339
Tm2 0.0000 0.5000 0.0000
Tm3 0.0000 0.5000 0.3357
Tl1 0.0000 0.2453 0.1628
Tl2 0.0000 0.2609 0.5000
```

# 10
Entry from Alexandria: LiTm7Tl4 after structural relaxation (PBE).

```
data_LiTm7Tl4
_space_group_name_H-M_alt 'C 1 2/m 1'
_space_group_IT_number 12
_cell_length_a 14.5982
_cell_length_b 5.4565
_cell_length_c 11.0279
_cell_angle_alpha 90.00
_cell_angle_beta 127.40
_cell_angle_gamma 90.00
loop_
_space_group_symop_operation_xyz
'x,y,z'
'-x,-y,-z'
'-x,y,-z'
'x,-y,z'
'x+1/2,y+1/2,z'
'-x+1/2,-y+1/2,-z'
'-x+1/2,y+1/2,-z'
'x+1/2,-y+1/2,z'
loop_
_atom_site_label
_atom_site_fract_x
_atom_site_fract_y
_atom_site_fract_z
Li1 0.0000 0.0000 0.0000
Tm1 0.0000 0.5000 0.0000
Tm2 0.0712 0.0000 0.3283
Tm3 0.1596 0.5000 0.5934
Tm4 0.2173 0.0000 0.8710
Tl1 0.0715 0.5000 0.7808
Tl2 0.2068 0.5000 0.3362
```

# 11
Entry from Alexandria: Li5TmTl6 after structural relaxation (PBE).

```
data_Li5TmTl6
_space_group_name_H-M_alt 'C m m m'
_space_group_IT_number 65
_space_group_name_Hall '-C 2 2'
_cell_length_a 4.8816
_cell_length_b 14.7850
_cell_length_c 7.3577
_cell_angle_alpha 90.00
_cell_angle_beta 90.00
_cell_angle_gamma 90.00
loop_
_atom_site_label
_atom_site_fract_x
_atom_site_fract_y
_atom_site_fract_z
Li1 0.0000 0.0000 0.0000
Li2 0.0000 0.3281 0.0000
Li3 0.0000 0.3331 0.5000
Tm1 0.0000 0.0000 0.5000
Tl1 0.0000 0.1710 0.2458
Tl2 0.0000 0.5000 0.2254
```

# 12
# LiTm2Tl3, relaxed, DFT PBE
# * ΔE to the lowest computed polymorph: 0.0 meV/atom
data_LiTm2Tl3
_space_group_name_H-M_alt 'P -3 m 1'
_space_group_IT_number 164
_space_group_name_Hall '-P 3 2"'
_cell_length_a 5.1994
_cell_length_b 5.1994
_cell_length_c 12.8292
_cell_angle_alpha 90.00
_cell_angle_beta 90.00
_cell_angle_gamma 120.00
loop_
_atom_site_label
_atom_site_fract_x
_atom_site_fract_y
_atom_site_fract_z
Li1 0.3333 0.6667 0.1598
Tm1 0.0000 0.0000 0.0000
Tm2 0.0000 0.0000 0.5000
Tm3 0.3333 0.6667 0.6741
Tl1 0.0000 0.0000 0.2449
Tl2 0.3333 0.6667 0.4095
Tl3 0.3333 0.6667 0.9191

# 13
Entry from Alexandria: LiTm5Tl8 after structural relaxation (PBE).

```
data_LiTm5Tl8
_space_group_name_H-M_alt 'I -4'
_space_group_IT_number 82
_cell_length_a 9.1427
_cell_length_b 9.1427
_cell_length_c 9.0161
_cell_angle_alpha 90.00
_cell_angle_beta 90.00
_cell_angle_gamma 90.00
loop_
_space_group_symop_operation_xyz
'x,y,z'
'y,-x,-z'
'-x,-y,z'
'-y,x,-z'
'x+1/2,y+1/2,z+1/2'
'y+1/2,-x+1/2,-z+1/2'
'-x+1/2,-y+1/2,z+1/2'
'-y+1/2,x+1/2,-z+1/2'
loop_
_atom_site_label
_atom_site_fract_x
_atom_site_fract_y
_atom_site_fract_z
Li1 0.0000 0.0000 0.0000
Tm1 0.0000 0.5000 0.7500
Tm2 0.1184 0.7711 0.3973
Tl1 0.0702 0.6747 0.0591
Tl2 0.0885 0.8317 0.7376
```

# 14
Entry from Alexandria: LiTm12Tl6 after structural relaxation (PBE).

```
data_LiTm12Tl6
_space_group_name_H-M_alt 'R -3'
_space_group_IT_number 148
_space_group_name_Hall '-R 3'
_cell_length_a 13.3443
_cell_length_b 13.3443
_cell_length_c 12.0849
_cell_angle_alpha 90.00
_cell_angle_beta 90.00
_cell_angle_gamma 120.00
loop_
_atom_site_label
_atom_site_fract_x
_atom_site_fract_y
_atom_site_fract_z
Li1 0.0000 0.0000 0.0000
Tm1 0.0360 0.8241 0.3929
Tm2 0.0500 0.8395 0.8914
Tl1 0.0482 0.7830 0.6485
```

# 15
Entry from Alexandria: Li3Tm2Tl3 after structural relaxation (PBE).

```
data_Li3Tm2Tl3
_space_group_name_H-M_alt 'P 63/m c m'
_space_group_IT_number 193
_space_group_name_Hall '-P 6c 2'
_cell_length_a 8.7224
_cell_length_b 8.7224
_cell_length_c 6.3494
_cell_angle_alpha 90.00
_cell_angle_beta 90.00
_cell_angle_gamma 120.00
loop_
_atom_site_label
_atom_site_fract_x
_atom_site_fract_y
_atom_site_fract_z
Li1 0.0000 0.2735 0.2500
Tm1 0.3333 0.6667 0.0000
Tl1 0.0000 0.3763 0.7500
```

# 16
Entry from Alexandria: Li4TmTl4 after structural relaxation (PBE).

```
data_Li4TmTl4
_space_group_name_H-M_alt 'P 42/n m c'
_space_group_IT_number 137
_cell_length_a 6.4365
_cell_length_b 6.4365
_cell_length_c 9.7837
_cell_angle_alpha 90.00
_cell_angle_beta 90.00
_cell_angle_gamma 90.00
loop_
_space_group_symop_operation_xyz
'x,y,z'
'-x,-y,-z'
'-y+1/2,x,z+1/2'
'y+1/2,-x,-z+1/2'
'-x+1/2,-y+1/2,z'
'x+1/2,y+1/2,-z'
'y,-x+1/2,z+1/2'
'-y,x+1/2,-z+1/2'
'x+1/2,-y,-z'
'-x+1/2,y,z'
'-y,-x,-z+1/2'
'y,x,z+1/2'
'-x,y+1/2,-z'
'x,-y+1/2,z'
'y+1/2,x+1/2,-z+1/2'
'-y+1/2,-x+1/2,z+1/2'
loop_
_atom_site_label
_atom_site_fract_x
_atom_site_fract_y
_atom_site_fract_z
Li1 0.0340 0.2500 0.1808
Tm1 0.2500 0.7500 0.2500
Tl1 0.0118 0.2500 0.4686
```

# 17
# Li2TmTl3, relaxed, DFT PBE
# * ΔE to the lowest computed polymorph: 0.0 meV/atom
data_Li2TmTl3
_space_group_name_H-M_alt 'P -3 m 1'
_space_group_IT_number 164
_space_group_name_Hall '-P 3 2"'
_cell_length_a 5.0623
_cell_length_b 5.0623
_cell_length_c 12.5580
_cell_angle_alpha 90.00
_cell_angle_beta 90.00
_cell_angle_gamma 120.00
loop_
_atom_site_label
_atom_site_fract_x
_atom_site_fract_y
_atom_site_fract_z
Li1 0.0000 0.0000 0.0000
Li2 0.0000 0.0000 0.5000
Li3 0.3333 0.6667 0.1676
Tm1 0.3333 0.6667 0.6673
Tl1 0.0000 0.0000 0.2369
Tl2 0.3333 0.6667 0.4169
Tl3 0.3333 0.6667 0.9255

# 18
# Li4Tm3Tl4, relaxed, DFT PBE
# * ΔE to the lowest computed polymorph: 0.0 meV/atom
data_Li4Tm3Tl4
_space_group_name_H-M_alt 'I m m m'
_space_group_IT_number 71
_space_group_name_Hall '-I 2 2'
_cell_length_a 3.4492
_cell_length_b 4.8491
_cell_length_c 30.4001
_cell_angle_alpha 90.00
_cell_angle_beta 90.00
_cell_angle_gamma 90.00
loop_
_atom_site_label
_atom_site_fract_x
_atom_site_fract_y
_atom_site_fract_z
Li1 0.0000 0.0000 0.0925
Li2 0.0000 0.5000 0.2397
Tm1 0.0000 0.0000 0.3560
Tm2 0.0000 0.5000 0.5000
Tl1 0.0000 0.0000 0.1834
Tl2 0.0000 0.5000 0.0516

# 19
Entry from Alexandria: LiTm4Tl2 after structural relaxation (PBE).

```
data_LiTm4Tl2
_space_group_name_H-M_alt 'P 1 21/m 1'
_space_group_IT_number 11
_cell_length_a 6.9537
_cell_length_b 6.6023
_cell_length_c 8.7533
_cell_angle_alpha 90.00
_cell_angle_beta 108.27
_cell_angle_gamma 90.00
loop_
_space_group_symop_operation_xyz
'x,y,z'
'-x,-y,-z'
'-x,y+1/2,-z'
'x,-y+1/2,z'
loop_
_atom_site_label
_atom_site_fract_x
_atom_site_fract_y
_atom_site_fract_z
Li1 0.0524 0.2500 0.2713
Tm1 0.1855 0.7500 0.1247
Tm2 0.3224 0.0052 0.7804
Tm3 0.4647 0.2500 0.4808
Tl1 0.0659 0.7500 0.4521
Tl2 0.2808 0.2500 0.0783
```

# 20
# LiTmTl, relaxed, DFT PBE
# * ΔE to the lowest computed polymorph: 137.9 meV/atom
data_LiTmTl
_space_group_name_H-M_alt 'I 4 m m'
_space_group_IT_number 107
_space_group_name_Hall 'I 4 -2'
_cell_length_a 3.6588
_cell_length_b 3.6588
_cell_length_c 10.7461
_cell_angle_alpha 90.00
_cell_angle_beta 90.00
_cell_angle_gamma 90.00
loop_
_atom_site_label
_atom_site_fract_x
_atom_site_fract_y
_atom_site_fract_z
Li1 0.0000 0.0000 0.0000
Tm1 0.0000 0.0000 0.6901
Tl1 0.0000 0.0000 0.3763

no.,energy of formation from the pure elements (eV per formula unit)
1,-1.17
2,-5.72
3,-2.98
4,-2.06
5,-0.24
6,-2.10
7,-2.94
8,-1.07
9,-3.50
10,0.32
11,-2.86
12,-1.73
13,-2.52
14,2.52
15,-1.39
16,-1.16
17,-1.57
18,-2.74
19,-0.56
20,-0.35